Record 1
DFT (GGA-PBE) results for a relaxed ErScMo crystal.

Geometry as extended XYZ:
```
3
Lattice="3.437 0.000 0.000 0.000 3.437 0.000 -1.719 -1.719 5.767" Properties=species:S:1:pos:R:3 pbc="T T T"
Er 0.000 0.000 0.269
Sc 0.000 0.000 3.475
Mo 1.719 1.719 2.022
```

Computed properties:
Formation energy ... 0.61 eV/f.u.
Total DFT energy (no corrections) ... -21.115 eV/cell
ΔE to the lowest computed polymorph ... 30 meV/atom
Total moment ... 0.00 Bohr magnetons per cell
Symmetry ... I4mm
N(E_F) ... 4.51 states/eV/f.u.

=====

Record 2
DFT (GGA-PBE) results for a relaxed NaPH6 crystal.

Geometry as extended XYZ:
```
8
Lattice="-4.204 -3.007 -0.590 0.178 -5.018 1.364 -2.622 -1.655 4.178" Properties=species:S:1:pos:R:3 pbc="T T T"
Na -3.324 -4.840 2.476
H -2.800 -5.931 4.302
H -3.742 -6.737 1.462
H -2.906 -2.943 3.490
H -1.238 -4.946 1.814
H -5.410 -4.734 3.138
H -3.848 -3.748 0.650
P 0.000 0.000 0.000
```

Computed properties:
Total DFT energy (no corrections) ... -26.132 eV/cell
ΔE to the lowest computed polymorph ... 0 meV/atom
Total moment ... 0.00 Bohr magnetons per cell
Symmetry ... Fm-3m

=====

Record 3
DFT (GGA-PBE) results for a relaxed LiAc4Pu3S8 crystal.

Geometry as extended XYZ:
```
16
Lattice="-6.697 3.940 -2.904 -3.157 0.261 7.634 7.572 3.048 -1.479" Properties=species:S:1:pos:R:3 pbc="T T T"
Li -1.579 0.130 3.817
Pu -1.141 3.624 1.625
Pu 2.207 1.654 3.077
Pu -4.927 2.101 2.365
S 1.314 2.664 0.584
S -2.467 1.126 1.323
S -0.255 2.611 4.130
S -2.027 4.638 -0.880
S -5.832 3.106 -0.137
S 3.550 4.142 3.387
S -3.596 4.585 2.667
S 0.185 6.122 1.928
Ac 0.438 3.494 -2.192
Ac 3.786 1.524 -0.740
Ac -3.348 1.970 -1.452
Ac 0.000 0.000 0.000
```

Computed properties:
Total DFT energy (no corrections) ... -123.617 eV/cell
Formation energy (no corrections) ... -1.828 eV per atom
Total moment ... 17.56 Bohr magnetons per cell
Symmetry ... R-3m
N(E_F) ... 26.23 states/eV/f.u.

=====

Record 4
DFT (GGA-PBE) results for a relaxed Hf2HgSe crystal.

Geometry as extended XYZ:
```
4
Lattice="0.204 2.457 4.174 -3.285 3.436 0.953 -3.361 -0.740 3.415" Properties=species:S:1:pos:R:3 pbc="T T T"
Se 0.000 0.000 0.000
Hf -4.832 3.864 6.407
Hf -1.611 1.288 2.136
Hg -3.221 2.576 4.271
```

Computed properties:
Total DFT energy (no corrections) ... -24.624 eV/cell
ΔE to the lowest computed polymorph ... 161 meV/atom
Formation energy (no corrections) ... -0.233 eV per atom
Total moment ... 0.00 Bohr magnetons per cell
Symmetry ... Fm-3m
N(E_F) ... 1.99 states/eV/f.u.

=====

Record 5
DFT (GGA-PBE) results for a relaxed BiTe2Pd crystal.

Geometry as extended XYZ:
```
4
Lattice="4.031 -0.499 -0.429 -0.690 6.028 -0.528 -2.207 -3.276 5.328" Properties=species:S:1:pos:R:3 pbc="T T T"
Te 1.005 2.657 2.659
Te 0.116 -0.294 1.702
Bi 1.667 2.817 -0.483
Pd -0.199 -3.473 5.108
```

Computed properties:
Total DFT energy (no corrections) ... -15.979 eV/cell
Formation energy (no corrections) ... -0.155 eV per atom
Total moment ... 0.00 Bohr magnetons per cell
Symmetry ... P-1
N(E_F) ... 1.84 states/eV/f.u.

=====

Record 6
DFT (GGA-PBE) results for a relaxed AgHgPt2 crystal.

Geometry as extended XYZ:
```
4
Lattice="-2.079 -0.093 9.450 -3.214 -2.664 8.730 -0.389 -2.448 9.354" Properties=species:S:1:pos:R:3 pbc="T T T"
Pt -4.256 -3.899 20.624
Pt -0.015 -0.013 0.071
Hg -1.430 -1.310 6.928
Ag -2.822 -2.586 13.677
```

Computed properties:
Formation energy ... 0.31 eV/f.u.
Total DFT energy (no corrections) ... -14.923 eV/cell
Total moment ... 0.00 Bohr magnetons per cell
Symmetry ... R3m
N(E_F) ... 3.02 states/eV/f.u.

=====

- Look up the total DFT energy (no corrections) of the second one.
  -26.132 eV/cell

=====

Copy entry 4 word for word.
DFT (GGA-PBE) results for a relaxed Hf2HgSe crystal.

Geometry as extended XYZ:
```
4
Lattice="0.204 2.457 4.174 -3.285 3.436 0.953 -3.361 -0.740 3.415" Properties=species:S:1:pos:R:3 pbc="T T T"
Se 0.000 0.000 0.000
Hf -4.832 3.864 6.407
Hf -1.611 1.288 2.136
Hg -3.221 2.576 4.271
```

Computed properties:
Total DFT energy (no corrections) ... -24.624 eV/cell
ΔE to the lowest computed polymorph ... 161 meV/atom
Formation energy (no corrections) ... -0.233 eV per atom
Total moment ... 0.00 Bohr magnetons per cell
Symmetry ... Fm-3m
N(E_F) ... 1.99 states/eV/f.u.

=====

- The lowest total DFT energy (no corrections) belongs to which entry?
  LiAc4Pu3S8

=====

- total DFT energy (no corrections) of number 2 (NaPH6)?
  -26.132 eV/cell